Entry 1:
Here is a relaxed structure of LaPm2Sc from Alexandria via LeMat-Bulk. Energies are from PBE.

POSCAR file:
```
LaPm2Sc
1.0
-0.833 -0.941 -5.555
-5.145 -1.549 -1.886
-3.124 3.641 -3.068
Sc La Pm
1 1 2
direct
0.500 0.500 0.500
0.000 0.000 0.000
0.250 0.250 0.250
0.750 0.750 0.750
```

Summary:
The calculation puts the theoretical density at 6.02 g/cm3. The calculation puts the offset from the most stable computed form at 0.125 eV per atom. The energy of formation is 64 kJ/mol of formula units.

Entry 2:
Here is a relaxed structure of La3Pm2Sc2 from Alexandria via LeMat-Bulk. Energies are from PBE.

POSCAR file:
```
La3Pm2Sc2
1.0
-2.393 1.867 -1.457
-1.900 -0.271 2.774
9.690 15.912 8.194
La Pm Sc
3 2 2
direct
0.213 0.000 0.422
0.000 0.000 0.000
0.787 0.000 0.578
0.089 0.000 0.167
0.911 0.000 0.833
0.351 0.500 0.709
0.649 0.500 0.291
```

Summary:
The calculation puts the theoretical density at 5.74 g/cm3. The energy of formation is 163 kJ/mol of formula units.

Entry 3:
Here is a relaxed structure of LaPmSc2 from Alexandria via LeMat-Bulk. Energies are from PBE.

POSCAR file:
```
LaPmSc2
1.0
3.646 0.000 0.000
0.000 3.646 0.000
0.000 0.000 8.963
Sc La Pm
2 1 1
direct
0.000 0.000 0.754
0.000 0.000 0.246
0.500 0.500 0.500
0.500 0.500 0.000
```

Summary:
The calculation puts the theoretical density at 5.21 g/cm3. The calculation puts the offset from the most stable computed form at 0.001 eV per atom. The energy of formation is 21 kJ/mol of formula units.

Entry 4:
Here is a relaxed structure of LaPm4Sc2 from Alexandria via LeMat-Bulk. Energies are from PBE.

POSCAR file:
```
LaPm4Sc2
1.0
-7.335 -2.694 0.602
7.780 -0.859 -0.408
0.113 8.180 16.560
La Pm Sc
2 8 4
direct
0.900 0.100 0.250
0.100 0.900 0.750
0.395 0.270 0.415
0.977 0.318 0.073
0.682 0.023 0.427
0.730 0.605 0.085
0.270 0.395 0.915
0.318 0.977 0.573
0.023 0.682 0.927
0.605 0.730 0.585
0.429 0.571 0.750
0.775 0.225 0.750
0.571 0.429 0.250
0.225 0.775 0.250
```

Summary:
The calculation puts the theoretical density at 5.77 g/cm3. The calculation puts the offset from the most stable computed form at 0.080 eV per atom. The energy of formation is 171 kJ/mol of formula units.

Entry 5:
Here is a relaxed structure of La2Pm12Sc from Alexandria via LeMat-Bulk. Energies are from PBE.

POSCAR file:
```
La2Pm12Sc
1.0
-6.444 1.255 0.741
-1.254 -3.063 -5.718
-2.808 -21.631 12.203
La Pm Sc
4 24 2
direct
0.500 0.000 0.261
0.000 0.500 0.261
0.000 0.500 0.739
0.500 0.000 0.739
0.500 0.500 0.790
0.000 0.000 0.790
0.809 0.691 0.894
0.309 0.809 0.894
0.000 0.000 0.335
0.191 0.691 0.106
0.832 0.332 0.563
0.500 0.500 0.335
0.191 0.309 0.894
0.691 0.809 0.106
0.332 0.168 0.563
0.668 0.168 0.437
0.000 0.000 0.665
0.168 0.332 0.437
0.309 0.191 0.106
0.832 0.668 0.437
0.668 0.832 0.563
0.000 0.000 0.210
0.168 0.668 0.563
0.500 0.500 0.665
0.691 0.191 0.894
0.500 0.500 0.210
0.332 0.832 0.437
0.809 0.309 0.106
0.500 0.000 0.000
0.000 0.500 0.000
```

Summary:
The calculation puts the theoretical density at 6.28 g/cm3. The energy of formation is 465 kJ/mol of formula units.

Entry 6:
Here is a relaxed structure of La2PmSc from Alexandria via LeMat-Bulk. Energies are from PBE.

POSCAR file:
```
La2PmSc
1.0
-1.065 1.616 3.168
-1.834 -3.083 0.956
7.873 -3.335 4.347
Sc La Pm
1 2 1
direct
0.500 0.500 0.000
0.000 0.000 0.766
0.000 0.000 0.234
0.500 0.500 0.500
```

Summary:
The calculation puts the theoretical density at 5.88 g/cm3. The calculation puts the offset from the most stable computed form at 0.002 eV per atom. The energy of formation is 16 kJ/mol of formula units.

Entry 7:
Here is a relaxed structure of LaPm2Sc3 from Alexandria via LeMat-Bulk. Energies are from PBE.

POSCAR file:
```
LaPm2Sc3
1.0
-2.361 -0.842 -6.315
0.178 -5.265 4.291
-8.575 2.096 2.927
La Pm Sc
2 4 6
direct
0.333 0.667 0.954
0.667 0.333 0.046
0.000 0.000 0.000
0.667 0.333 0.408
0.000 0.000 0.500
0.333 0.667 0.592
0.186 0.373 0.271
0.627 0.814 0.271
0.186 0.814 0.271
0.814 0.627 0.729
0.814 0.186 0.729
0.373 0.186 0.729
```

Summary:
The calculation puts the theoretical density at 5.04 g/cm3. The energy of formation is 155 kJ/mol of formula units.

Entry 8:
Here is a relaxed structure of La3PmSc from Alexandria via LeMat-Bulk. Energies are from PBE.

POSCAR file:
```
La3PmSc
1.0
-4.059 0.831 4.196
4.646 -3.077 0.959
5.830 9.947 3.670
La Pm Sc
6 2 2
direct
0.048 0.097 0.750
0.952 0.903 0.250
0.353 0.706 0.602
0.647 0.294 0.398
0.647 0.294 0.102
0.353 0.706 0.898
0.000 0.000 0.500
0.000 0.000 0.000
0.296 0.592 0.250
0.704 0.408 0.750
```

Summary:
The calculation puts the theoretical density at 5.85 g/cm3. The calculation puts the offset from the most stable computed form at 0.159 eV per atom. The energy of formation is 117 kJ/mol of formula units.

Entry 9:
Here is a relaxed structure of LaPmSc4 from Alexandria via LeMat-Bulk. Energies are from PBE.

POSCAR file:
```
LaPmSc4
1.0
-4.362 7.037 -2.147
-0.857 -3.461 4.078
8.174 3.349 4.563
La Pm Sc
2 2 8
direct
0.376 0.626 0.252
0.624 0.374 0.748
0.126 0.876 0.753
0.874 0.124 0.247
0.959 0.209 0.917
0.458 0.708 0.917
0.290 0.539 0.583
0.710 0.461 0.417
0.207 0.956 0.417
0.542 0.292 0.083
0.793 0.044 0.583
0.041 0.791 0.083
```

Summary:
The calculation puts the theoretical density at 4.58 g/cm3. The energy of formation is 47 kJ/mol of formula units.

Entry 10:
Here is a relaxed structure of La2Pm8Sc from Alexandria via LeMat-Bulk. Energies are from PBE.

POSCAR file:
```
La2Pm8Sc
1.0
5.153 0.000 0.000
0.000 8.099 0.464
-2.577 -2.941 8.772
La Pm Sc
2 8 1
direct
0.774 0.363 0.547
0.226 0.637 0.453
0.412 0.554 0.823
0.679 0.908 0.358
0.867 0.826 0.733
0.956 0.269 0.912
0.133 0.174 0.267
0.321 0.092 0.642
0.588 0.446 0.177
0.044 0.731 0.088
0.500 0.000 0.000
```

Summary:
The calculation puts the theoretical density at 6.60 g/cm3. The energy of formation is 33 kJ/mol of formula units.

Entry 11:
Here is a relaxed structure of La8PmSc2 from Alexandria via LeMat-Bulk. Energies are from PBE.

POSCAR file:
```
La8PmSc2
1.0
5.337 0.000 -1.621
-1.052 7.788 -3.464
-0.045 -0.538 9.451
La Pm Sc
8 1 2
direct
0.645 0.844 0.289
0.355 0.555 0.711
0.159 0.159 0.319
0.000 0.303 0.000
0.841 0.841 0.681
0.645 0.445 0.289
0.355 0.156 0.711
0.000 0.697 0.000
0.500 0.000 0.000
0.202 0.702 0.404
0.798 0.298 0.596
```

Summary:
The calculation puts the theoretical density at 5.86 g/cm3. The energy of formation is 118 kJ/mol of formula units.

Entry 12:
Here is a relaxed structure of LaPm6Sc2 from Alexandria via LeMat-Bulk. Energies are from PBE.

POSCAR file:
```
LaPm6Sc2
1.0
6.418 0.000 0.000
-3.209 5.558 0.000
0.000 0.000 8.973
La Pm Sc
1 6 2
direct
0.000 0.000 0.000
0.364 0.364 0.790
0.636 0.000 0.790
0.000 0.636 0.790
0.364 0.000 0.210
0.000 0.364 0.210
0.636 0.636 0.210
0.667 0.333 0.500
0.333 0.667 0.500
```

Summary:
The calculation puts the theoretical density at 5.70 g/cm3. The energy of formation is 400 kJ/mol of formula units.

Entry 13:
Here is a relaxed structure of La5Pm6Sc2 from Alexandria via LeMat-Bulk. Energies are from PBE.

POSCAR file:
```
La5Pm6Sc2
1.0
3.559 0.000 0.000
0.000 10.973 0.000
0.000 0.000 22.799
La Pm Sc
10 12 4
direct
0.500 0.331 0.494
0.500 0.669 0.506
0.500 0.831 0.006
0.500 0.169 0.994
0.500 0.587 0.253
0.500 0.413 0.747
0.500 0.087 0.247
0.500 0.913 0.753
0.500 0.500 0.000
0.500 0.000 0.500
0.000 0.140 0.382
0.000 0.860 0.618
0.000 0.640 0.118
0.000 0.360 0.882
0.500 0.337 0.140
0.500 0.663 0.860
0.500 0.837 0.360
0.500 0.163 0.640
0.000 0.531 0.386
0.000 0.469 0.614
0.000 0.031 0.114
0.000 0.969 0.886
0.000 0.337 0.271
0.000 0.663 0.729
0.000 0.837 0.229
0.000 0.163 0.771
```

Summary:
The calculation puts the theoretical density at 6.17 g/cm3. The energy of formation is 161 kJ/mol of formula units.

Entry 14:
Here is a relaxed structure of LaPmSc2 from Alexandria via LeMat-Bulk. Energies are from PBE.

POSCAR file:
```
LaPmSc2
1.0
4.405 0.000 0.000
0.000 5.190 0.000
0.000 0.000 5.190
Sc La Pm
2 1 1
direct
0.000 0.000 0.500
0.000 0.500 0.000
0.500 0.500 0.500
0.500 0.000 0.000
```

Summary:
The calculation puts the theoretical density at 5.23 g/cm3. The calculation puts the offset from the most stable computed form at 0.001 eV per atom. The energy of formation is 21 kJ/mol of formula units.

Entry 15:
Here is a relaxed structure of La6PmSc from Alexandria via LeMat-Bulk. Energies are from PBE.

POSCAR file:
```
La6PmSc
1.0
5.167 0.000 0.000
0.000 5.167 0.000
0.000 0.000 10.354
La Pm Sc
6 1 1
direct
0.500 0.500 0.000
0.500 0.500 0.500
0.500 0.000 0.255
0.500 0.000 0.745
0.000 0.500 0.255
0.000 0.500 0.745
0.000 0.000 0.000
0.000 0.000 0.500
```

Summary:
The calculation puts the theoretical density at 6.15 g/cm3. The energy of formation is 17 kJ/mol of formula units.

Entry 16:
Here is a relaxed structure of La2Pm5Sc from Alexandria via LeMat-Bulk. Energies are from PBE.

POSCAR file:
```
La2Pm5Sc
1.0
5.710 0.000 0.000
-2.855 5.997 0.000
0.000 0.000 16.046
La Pm Sc
4 10 2
direct
0.781 0.562 0.365
0.781 0.562 0.135
0.219 0.438 0.635
0.219 0.438 0.865
0.921 0.843 0.906
0.921 0.843 0.594
0.382 0.764 0.448
0.382 0.764 0.052
0.530 0.060 0.250
0.470 0.940 0.750
0.618 0.236 0.552
0.618 0.236 0.948
0.079 0.157 0.094
0.079 0.157 0.406
0.742 0.483 0.750
0.258 0.517 0.250
```

Summary:
The calculation puts the theoretical density at 6.33 g/cm3. The calculation puts the offset from the most stable computed form at 0.084 eV per atom. The energy of formation is 93 kJ/mol of formula units.

Entry 17:
Here is a relaxed structure of La2Pm8Sc3 from Alexandria via LeMat-Bulk. Energies are from PBE.

POSCAR file:
```
La2Pm8Sc3
1.0
-1.329 1.878 5.548
-8.795 0.453 0.588
-1.335 -7.178 4.958
La Pm Sc
2 8 3
direct
0.342 0.317 0.317
0.658 0.683 0.683
0.224 0.582 0.582
0.776 0.418 0.418
0.890 0.136 0.136
0.110 0.864 0.864
0.650 0.611 0.082
0.650 0.082 0.611
0.350 0.918 0.389
0.350 0.389 0.918
0.500 0.000 0.000
0.000 0.259 0.741
0.000 0.741 0.259
```

Summary:
The calculation puts the theoretical density at 6.14 g/cm3. The energy of formation is 224 kJ/mol of formula units.

Entry 18:
Here is a relaxed structure of LaPmSc2 from Alexandria via LeMat-Bulk. Energies are from PBE.

POSCAR file:
```
LaPmSc2
1.0
-4.305 -3.448 0.397
-1.479 -2.020 4.931
-4.690 1.696 2.389
Sc La Pm
2 1 1
direct
0.250 0.250 0.250
0.750 0.750 0.750
0.500 0.500 0.500
0.000 0.000 0.000
```

Summary:
The calculation puts the theoretical density at 5.19 g/cm3. The calculation puts the offset from the most stable computed form at 0.019 eV per atom. The energy of formation is 28 kJ/mol of formula units.

Entry 19:
Here is a relaxed structure of La2Pm5Sc from Alexandria via LeMat-Bulk. Energies are from PBE.

POSCAR file:
```
La2Pm5Sc
1.0
-4.390 1.286 -2.317
-2.636 -1.651 4.078
4.066 9.544 3.267
La Pm Sc
2 5 1
direct
0.750 0.750 0.500
0.250 0.250 0.500
0.500 0.500 0.000
0.380 0.880 0.761
0.880 0.380 0.761
0.620 0.120 0.239
0.120 0.620 0.239
0.000 0.000 0.000
```

Summary:
The calculation puts the theoretical density at 6.45 g/cm3. The calculation puts the offset from the most stable computed form at 0.000 eV per atom. The energy of formation is 28 kJ/mol of formula units.

Entry 20:
Here is a relaxed structure of La8Pm3Sc2 from Alexandria via LeMat-Bulk. Energies are from PBE.

POSCAR file:
```
La8Pm3Sc2
1.0
6.040 0.282 1.299
1.902 8.551 1.514
0.759 -0.694 8.830
La Pm Sc
8 3 2
direct
0.204 0.554 0.554
0.796 0.446 0.446
0.935 0.150 0.150
0.065 0.850 0.850
0.670 0.573 0.076
0.670 0.076 0.573
0.330 0.924 0.427
0.330 0.427 0.924
0.500 0.000 0.000
0.000 0.251 0.749
0.000 0.749 0.251
0.349 0.293 0.293
0.651 0.707 0.707
```

Summary:
The calculation puts the theoretical density at 6.07 g/cm3. The energy of formation is 184 kJ/mol of formula units.